Here is a relaxed Ca2TcSe crystal from Alexandria. Energies are from GGA-PBE.

It has space group P4mm (No. 99), with a = 4.122 Å, b = 4.122 Å, c = 6.202 Å, α = 90.00°, β = 90.00° and γ = 90.00°. The inequivalent atoms are Ca at (0.000, 0.000, 0.000), Ca at (0.500, 0.500, 0.375), Tc at (0.500, 0.500, 0.861) and Se at (0.000, 0.000, 0.499).

The value obtained for the formation energy without anion corrections is -0.02 eV/atom. The calculated volume is 26.34 Å³/atom. The value obtained for the mass density is 4.05 Mg/m³. Its density of states at the Fermi level is 0.2413 states/eV/atom. The total energy comes out at -4.487 eV/atom.